# 1
# Nd3Sc2Sb3

Nd3Sc2Sb3 after structural relaxation (PBE, Alexandria via LeMat-Bulk).

Cell and atoms, written as POSCAR:
```
Nd3Sc2Sb3
1.0
9.012 0.000 0.000
-4.506 7.804 0.000
0.000 0.000 6.265
Nd Sc Sb
6 4 6
Cartesian
-1.116 1.934 1.566
-3.389 5.870 4.699
2.233 0.000 1.566
1.116 1.934 4.699
6.779 0.000 4.699
3.389 5.870 1.566
0.000 5.203 0.000
0.000 5.203 3.132
4.506 2.601 0.000
4.506 2.601 3.132
-1.791 3.102 4.699
-2.715 4.703 1.566
3.581 0.000 4.699
1.791 3.102 1.566
5.430 0.000 1.566
2.715 4.703 4.699
```

Values from the calculation:
Formation energy without anion corrections ... -0.913 eV/atom
Calculated total energy ... -5.829 eV per atom
Total magnetic moment ... 1.44 μB/cell

# 2
# HoPuPa2N4

HoPuPa2N4 after structural relaxation (PBE, Alexandria via LeMat-Bulk).

Cell and atoms, written as POSCAR:
```
HoPuPa2N4
1.0
6.023 0.000 0.000
0.000 3.492 0.000
-2.039 0.000 5.724
Ho Pu Pa N
1 1 2 4
Cartesian
0.000 0.000 0.000
-1.020 1.746 2.862
1.992 0.000 2.862
3.011 1.746 0.000
1.061 1.746 1.419
0.025 0.000 4.350
3.958 0.000 1.374
2.923 1.746 4.305
```

Values from the calculation:
Formation energy without anion corrections ... -1.568 eV/atom
Calculated total energy ... -10.468 eV per atom
Total magnetic moment ... 5.28 μB/cell